[1]
## Pa3TcN6 (PBE)

Data for Pa3TcN6 after structural relaxation.

a b c (Å): 7.332 7.332 5.480
angles (deg): 90.00 90.00 102.62
Fractional coordinates of all 20 atoms:
Pa: 0.104 0.896 0.500
Pa: 0.193 0.412 0.538
Pa: 0.412 0.193 0.038
Pa: 0.588 0.807 0.538
Pa: 0.807 0.588 0.038
Pa: 0.896 0.104 0.000
Tc: 0.302 0.698 0.090
Tc: 0.698 0.302 0.590
N: 0.072 0.606 0.288
N: 0.143 0.171 0.268
N: 0.171 0.143 0.768
N: 0.288 0.712 0.749
N: 0.394 0.928 0.288
N: 0.449 0.551 0.301
N: 0.551 0.449 0.801
N: 0.606 0.072 0.788
N: 0.712 0.288 0.249
N: 0.829 0.857 0.268
N: 0.857 0.829 0.768
N: 0.928 0.394 0.788

Computed properties:
D(E_F) = 7.4 states/eV/f.u.
volume = 287 Å³/cell
size of the total moment = 0.0 μB per formula unit
symmetry = Cmc2_1, No. 36
E_form (uncorrected) = -1.253 eV per atom

=====

[2]
## Tb4SmDy15 (PBE)

Data for Tb4SmDy15 after structural relaxation.

a b c (Å): 5.021 5.021 25.088
angles (deg): 90.00 90.00 90.00
Fractional coordinates of all 20 atoms:
Tb: 0.000 0.000 0.100
Tb: 0.000 0.000 0.300
Tb: 0.000 0.000 0.700
Tb: 0.000 0.000 0.900
Sm: 0.000 0.000 0.500
Dy: 0.000 0.500 0.000
Dy: 0.000 0.500 0.200
Dy: 0.000 0.500 0.399
Dy: 0.000 0.500 0.601
Dy: 0.000 0.500 0.800
Dy: 0.500 0.000 0.000
Dy: 0.500 0.000 0.200
Dy: 0.500 0.000 0.399
Dy: 0.500 0.000 0.601
Dy: 0.500 0.000 0.800
Dy: 0.500 0.500 0.100
Dy: 0.500 0.500 0.299
Dy: 0.500 0.500 0.500
Dy: 0.500 0.500 0.701
Dy: 0.500 0.500 0.900

Computed properties:
energy of formation = 0.0174 eV/atom
D(E_F) = 26.3 states/eV/f.u.
volume = 632 Å³/cell
size of the total moment = 0.0 μB per formula unit
symmetry = P4/mmm, No. 123

=====

[3]
## La3Pt5 (PBE)

Data for La3Pt5 after structural relaxation.

a b c (Å): 8.543 8.543 7.037
angles (deg): 97.71 97.71 130.93
Fractional coordinates of all 16 atoms:
La: 0.160 0.840 0.000
La: 0.272 0.728 0.500
La: 0.423 0.423 0.225
La: 0.577 0.577 0.775
La: 0.728 0.272 0.500
La: 0.840 0.160 0.000
Pt: 0.090 0.276 0.453
Pt: 0.129 0.129 0.806
Pt: 0.192 0.509 0.828
Pt: 0.276 0.090 0.453
Pt: 0.491 0.808 0.172
Pt: 0.509 0.192 0.828
Pt: 0.724 0.910 0.547
Pt: 0.808 0.491 0.172
Pt: 0.871 0.871 0.194
Pt: 0.910 0.724 0.547

Computed properties:
energy of formation = -1.0286 eV/atom
energy relative to the lowest polymorph listed for this composition = 0.0 meV/atom
D(E_F) = 2.8 states/eV/f.u.
volume = 367 Å³/cell
size of the total moment = 0.0 μB per formula unit
symmetry = C2/m, No. 12

=====

[4]
## Ho2AlV (PBE)

Data for Ho2AlV after structural relaxation.

a b c (Å): 5.061 5.061 5.061
angles (deg): 60.00 60.00 60.00
Fractional coordinates of all 4 atoms:
Ho: 0.250 0.250 0.250
Ho: 0.750 0.750 0.750
Al: 0.000 0.000 0.000
V: 0.500 0.500 0.500

Computed properties:
energy of formation = -0.0473 eV/atom
energy relative to the lowest polymorph listed for this composition = 0.0 meV/atom
D(E_F) = 2.2 states/eV/f.u.
volume = 92 Å³/cell
size of the total moment = 3.3 μB per formula unit
symmetry = Fm-3m, No. 225

=====

[5]
## V2CoNi3 (PBE)

Data for V2CoNi3 after structural relaxation.

a b c (Å): 6.144 6.144 6.745
angles (deg): 118.69 118.69 39.58
Fractional coordinates of all 12 atoms:
V: 0.032 0.032 0.201
V: 0.298 0.298 0.449
V: 0.702 0.702 0.551
V: 0.968 0.968 0.799
Co: 0.371 0.371 0.855
Co: 0.629 0.629 0.145
Ni: 0.123 0.123 0.612
Ni: 0.206 0.206 0.029
Ni: 0.459 0.459 0.289
Ni: 0.541 0.541 0.711
Ni: 0.794 0.794 0.971
Ni: 0.877 0.877 0.388

Computed properties:
energy of formation = -0.0649 eV/atom
energy relative to the lowest polymorph listed for this composition = 0.0 meV/atom
D(E_F) = 8.1 states/eV/f.u.
volume = 140 Å³/cell
size of the total moment = 0.9 μB per formula unit
symmetry = C2/m, No. 12

=====

[6]
## CeFeS2 (PBE)

Data for CeFeS2 after structural relaxation.

a b c (Å): 7.729 7.729 7.729
angles (deg): 26.56 26.56 26.56
Fractional coordinates of all 4 atoms:
Ce: 0.000 0.000 0.000
Fe: 0.500 0.500 0.500
S: 0.120 0.120 0.120
S: 0.880 0.880 0.880

Computed properties:
D(E_F) = 7.1 states/eV/f.u.
volume = 81 Å³/cell
size of the total moment = 1.1 μB per formula unit
symmetry = R-3m, No. 166
E_form (uncorrected) = -0.378 eV per atom

=====

[7]
## PdSe2I (PBE)

Data for PdSe2I after structural relaxation.

a b c (Å): 6.152 6.152 9.156
angles (deg): 103.89 103.89 56.97
Fractional coordinates of all 8 atoms:
Pd: 0.169 0.169 0.101
Pd: 0.831 0.831 0.899
Se: 0.294 0.544 0.870
Se: 0.354 0.124 0.880
Se: 0.456 0.706 0.130
Se: 0.876 0.646 0.120
I: 0.012 0.180 0.350
I: 0.820 0.988 0.650

Computed properties:
energy relative to the lowest polymorph listed for this composition = 17.6 meV/atom
D(E_F) = 0.0 states/eV/f.u.
volume = 279 Å³/cell
size of the total moment = 0.0 μB per formula unit
symmetry = C2, No. 5
E_form (uncorrected) = -0.169 eV per atom

=====

[8]
## ZrMn3Tl (PBE)

Data for ZrMn3Tl after structural relaxation.

a b c (Å): 4.931 4.931 4.931
angles (deg): 90.00 90.00 90.00
Fractional coordinates of all 5 atoms:
Zr: 0.000 0.000 0.000
Mn: 0.000 0.000 0.500
Mn: 0.000 0.500 0.000
Mn: 0.500 0.000 0.000
Tl: 0.500 0.500 0.500

Computed properties:
energy of formation = 1.2678 eV/atom
energy relative to the lowest polymorph listed for this composition = 0.0 meV/atom
D(E_F) = 5.2 states/eV/f.u.
volume = 120 Å³/cell
size of the total moment = 9.8 μB per formula unit
symmetry = Pm-3m, No. 221